A plane-wave DFT calculation with PBE-GGA was carried out for a geometry-optimized CoSiAg2 structure.

Unit cell a=3.783 b=3.783 c=4.111 alpha=90.00 beta=90.00 gamma=90.00
Fractional positions:
1 Co 0.000 0.000 0.000
2 Si 0.500 0.500 0.000
3 Ag 0.000 0.500 0.500
4 Ag 0.500 0.000 0.500

Values from the calculation:
E_tot ... -4.252 eV/atom
Energy relative to the elements, uncorrected ... 1.2 eV/f.u.



A plane-wave DFT calculation with PBE-GGA was carried out for a geometry-optimized La6Si2Bi structure.

Unit cell a=8.984 b=8.984 c=8.984 alpha=113.17 beta=110.89 gamma=104.48
Fractional positions:
1 La 0.030 0.243 0.788
2 La 0.194 0.279 0.473
3 La 0.194 0.721 0.916
4 La 0.317 0.024 0.707
5 La 0.317 0.611 0.293
6 La 0.455 0.243 0.212
7 La 0.545 0.757 0.788
8 La 0.683 0.389 0.707
9 La 0.683 0.976 0.293
10 La 0.806 0.279 0.084
11 La 0.806 0.721 0.527
12 La 0.970 0.757 0.212
13 Si 0.109 0.609 0.500
14 Si 0.380 0.000 0.380
15 Si 0.620 0.000 0.620
16 Si 0.891 0.391 0.500
17 Bi 0.000 0.000 0.000
18 Bi 0.500 0.500 0.000

Values from the calculation:
E_tot ... -5.508 eV/atom
Energy relative to the elements, uncorrected ... -5.3 eV/f.u.



A plane-wave DFT calculation with PBE-GGA was carried out for a geometry-optimized CeHo2HgC structure.

Unit cell a=4.906 b=4.906 c=4.874 alpha=90.00 beta=90.00 gamma=90.00
Fractional positions:
1 Ce 0.000 0.000 0.000
2 Ho 0.000 0.500 0.500
3 Ho 0.500 0.000 0.500
4 Hg 0.500 0.500 0.000
5 C 0.000 0.000 0.500

Values from the calculation:
E_tot ... -5.261 eV/atom
Formation energy from the elements ... -1.7 eV per formula unit



A plane-wave DFT calculation with PBE-GGA was carried out for a geometry-optimized TmLuZnSn structure.

Unit cell a=5.105 b=5.105 c=5.105 alpha=60.00 beta=60.00 gamma=60.00
Fractional positions:
1 Tm 0.000 0.000 0.000
2 Lu 0.500 0.500 0.500
3 Zn 0.250 0.250 0.250
4 Sn 0.750 0.750 0.750

Values from the calculation:
E_tot ... -4.012 eV/atom
Formation energy from the elements ... -1.8 eV per formula unit



A plane-wave DFT calculation with PBE-GGA was carried out for a geometry-optimized Ac2Rh4Pb3Au structure.

Unit cell a=4.435 b=4.435 c=12.039 alpha=90.00 beta=90.00 gamma=90.00
Fractional positions:
1 Ac 0.000 0.500 0.231
2 Ac 0.500 0.000 0.769
3 Rh 0.000 0.000 0.500
4 Rh 0.000 0.500 0.851
5 Rh 0.500 0.000 0.149
6 Rh 0.500 0.500 0.500
7 Pb 0.000 0.000 0.000
8 Pb 0.000 0.500 0.627
9 Pb 0.500 0.000 0.373
10 Au 0.500 0.500 0.000

Values from the calculation:
E_tot ... -5.606 eV/atom
Formation energy from the elements ... -4.0 eV per formula unit



A plane-wave DFT calculation with PBE-GGA was carried out for a geometry-optimized Ru2Pt3 structure.

Unit cell a=11.537 b=11.537 c=11.537 alpha=13.70 beta=13.70 gamma=13.70
Fractional positions:
1 Ru 0.197 0.197 0.197
2 Ru 0.803 0.803 0.803
3 Pt 0.000 0.000 0.000
4 Pt 0.403 0.403 0.403
5 Pt 0.597 0.597 0.597

Values from the calculation:
E_tot ... -7.346 eV/atom
Offset from the most stable computed form ... 0 meV per atom
Formation energy from the elements ... -0.1 eV per formula unit



A plane-wave DFT calculation with PBE-GGA was carried out for a geometry-optimized ErTm3Tl2 structure.

Unit cell a=9.410 b=9.410 c=9.410 alpha=139.90 beta=58.00 gamma=139.91
Fractional positions:
1 Er 0.250 0.250 0.000
2 Er 0.750 0.750 0.000
3 Tm 0.176 0.250 0.426
4 Tm 0.250 0.750 0.500
5 Tm 0.324 0.750 0.075
6 Tm 0.676 0.250 0.925
7 Tm 0.750 0.250 0.500
8 Tm 0.824 0.750 0.574
9 Tl 0.137 0.749 0.887
10 Tl 0.363 0.249 0.612
11 Tl 0.637 0.751 0.388
12 Tl 0.863 0.251 0.113

Values from the calculation:
E_tot ... -3.968 eV/atom
Offset from the most stable computed form ... 72 meV per atom
Formation energy from the elements ... -1.1 eV per formula unit



A plane-wave DFT calculation with PBE-GGA was carried out for a geometry-optimized Ac2GaIr2 structure.

Unit cell a=5.992 b=5.992 c=8.048 alpha=101.57 beta=101.57 gamma=59.38
Fractional positions:
1 Ac 0.005 0.290 0.148
2 Ac 0.290 0.005 0.648
3 Ac 0.710 0.995 0.352
4 Ac 0.995 0.710 0.852
5 Ga 0.384 0.616 0.250
6 Ga 0.616 0.384 0.750
7 Ir 0.232 0.503 0.494
8 Ir 0.497 0.768 0.006
9 Ir 0.503 0.232 0.994
10 Ir 0.768 0.497 0.506

Values from the calculation:
E_tot ... -6.474 eV/atom
Formation energy from the elements ... -3.4 eV per formula unit



A plane-wave DFT calculation with PBE-GGA was carried out for a geometry-optimized Sm2Ga3CoPt4 structure.

Unit cell a=4.130 b=4.130 c=10.897 alpha=90.00 beta=90.00 gamma=90.00
Fractional positions:
1 Sm 0.000 0.500 0.243
2 Sm 0.500 0.000 0.757
3 Ga 0.000 0.000 0.000
4 Ga 0.000 0.500 0.636
5 Ga 0.500 0.000 0.364
6 Co 0.500 0.500 0.000
7 Pt 0.000 0.000 0.500
8 Pt 0.000 0.500 0.864
9 Pt 0.500 0.000 0.136
10 Pt 0.500 0.500 0.500

Values from the calculation:
E_tot ... -5.814 eV/atom
Formation energy from the elements ... -8.4 eV per formula unit



A plane-wave DFT calculation with PBE-GGA was carried out for a geometry-optimized LiLa2AlHg6 structure.

Unit cell a=6.504 b=6.664 c=6.881 alpha=75.81 beta=71.99 gamma=69.20
Fractional positions:
1 Li 0.000 0.000 0.000
2 La 0.307 0.242 0.256
3 La 0.693 0.758 0.744
4 Al 0.500 0.500 0.500
5 Hg 0.159 0.338 0.772
6 Hg 0.189 0.868 0.642
7 Hg 0.319 0.750 0.179
8 Hg 0.681 0.250 0.821
9 Hg 0.811 0.132 0.358
10 Hg 0.841 0.662 0.228

Values from the calculation:
E_tot ... -1.990 eV/atom
Formation energy from the elements ... -2.6 eV per formula unit



A plane-wave DFT calculation with PBE-GGA was carried out for a geometry-optimized CdHPd3 structure.

Unit cell a=5.064 b=5.064 c=5.064 alpha=90.00 beta=90.00 gamma=90.00
Fractional positions:
1 Cd 0.000 0.000 0.000
2 H 0.500 0.500 0.500
3 Pd 0.000 0.000 0.500
4 Pd 0.000 0.500 0.000
5 Pd 0.500 0.000 0.000

Values from the calculation:
E_tot ... -2.601 eV/atom
Offset from the most stable computed form ... 1655 meV per atom



A plane-wave DFT calculation with PBE-GGA was carried out for a geometry-optimized Th2Co2Ag structure.

Unit cell a=7.433 b=7.433 c=3.660 alpha=90.00 beta=90.00 gamma=90.00
Fractional positions:
1 Th 0.171 0.329 0.000
2 Th 0.329 0.829 0.000
3 Th 0.671 0.171 0.000
4 Th 0.829 0.671 0.000
5 Co 0.129 0.629 0.500
6 Co 0.371 0.129 0.500
7 Co 0.629 0.871 0.500
8 Co 0.871 0.371 0.500
9 Ag 0.000 0.000 0.500
10 Ag 0.500 0.500 0.500

Values from the calculation:
E_tot ... -6.643 eV/atom
Formation energy from the elements ... -1.3 eV per formula unit



A plane-wave DFT calculation with PBE-GGA was carried out for a geometry-optimized HfTlH structure.

Unit cell a=8.400 b=8.400 c=8.400 alpha=101.56 beta=101.56 gamma=126.81
Fractional positions:
1 Hf 0.194 0.230 0.135
2 Hf 0.270 0.905 0.964
3 Hf 0.405 0.941 0.635
4 Hf 0.441 0.306 0.536
5 Hf 0.559 0.694 0.464
6 Hf 0.595 0.059 0.365
7 Hf 0.730 0.095 0.036
8 Hf 0.806 0.770 0.865
9 Tl 0.103 0.393 0.481
10 Tl 0.107 0.088 0.710
11 Tl 0.121 0.603 0.210
12 Tl 0.412 0.621 0.019
13 Tl 0.588 0.379 0.981
14 Tl 0.879 0.397 0.790
15 Tl 0.893 0.912 0.290
16 Tl 0.897 0.607 0.519
17 H 0.091 0.932 0.068
18 H 0.365 0.023 0.432
19 H 0.432 0.865 0.841
20 H 0.477 0.409 0.341
21 H 0.523 0.591 0.659
22 H 0.568 0.135 0.159
23 H 0.635 0.977 0.568
24 H 0.909 0.068 0.932

Values from the calculation:
E_tot ... -5.222 eV/atom
Offset from the most stable computed form ... 229 meV per atom



A plane-wave DFT calculation with PBE-GGA was carried out for a geometry-optimized ZnMo3W structure.

Unit cell a=4.755 b=4.755 c=4.755 alpha=90.00 beta=90.00 gamma=90.00
Fractional positions:
1 Zn 0.000 0.000 0.000
2 Mo 0.000 0.500 0.500
3 Mo 0.500 0.000 0.500
4 Mo 0.500 0.500 0.000
5 W 0.500 0.500 0.500

Values from the calculation:
E_tot ... -7.544 eV/atom
Offset from the most stable computed form ... 0 meV per atom
Formation energy from the elements ... 9.0 eV per formula unit



A plane-wave DFT calculation with PBE-GGA was carried out for a geometry-optimized Mg4TlIn7 structure.

Unit cell a=3.439 b=3.439 c=29.865 alpha=90.00 beta=90.00 gamma=120.00
Fractional positions:
1 Mg 0.333 0.667 0.177
2 Mg 0.333 0.667 0.420
3 Mg 0.667 0.333 0.580
4 Mg 0.667 0.333 0.823
5 Tl 0.000 0.000 0.000
6 In 0.000 0.000 0.257
7 In 0.000 0.000 0.500
8 In 0.000 0.000 0.743
9 In 0.333 0.667 0.659
10 In 0.333 0.667 0.906
11 In 0.667 0.333 0.094
12 In 0.667 0.333 0.341

Values from the calculation:
E_tot ... -2.359 eV/atom
Offset from the most stable computed form ... 0 meV per atom
Formation energy from the elements ... -0.4 eV per formula unit



A plane-wave DFT calculation with PBE-GGA was carried out for a geometry-optimized LiGdTl structure.

Unit cell a=4.928 b=4.928 c=3.498 alpha=90.00 beta=90.00 gamma=120.00
Fractional positions:
1 Li 0.000 0.000 0.000
2 Gd 0.667 0.333 0.500
3 Tl 0.333 0.667 0.000

Values from the calculation:
E_tot ... -6.413 eV/atom
Offset from the most stable computed form ... 0 meV per atom
Formation energy from the elements ... -0.9 eV per formula unit



A plane-wave DFT calculation with PBE-GGA was carried out for a geometry-optimized AcZn4Cd2 structure.

Unit cell a=5.831 b=5.831 c=5.831 alpha=103.71 beta=103.71 gamma=121.73
Fractional positions:
1 Ac 0.000 0.000 0.000
2 Zn 0.315 0.315 0.629
3 Zn 0.315 0.685 0.000
4 Zn 0.685 0.315 0.000
5 Zn 0.685 0.685 0.371
6 Cd 0.250 0.750 0.500
7 Cd 0.750 0.250 0.500

Values from the calculation:
E_tot ... -1.728 eV/atom
Formation energy from the elements ... -1.1 eV per formula unit



A plane-wave DFT calculation with PBE-GGA was carried out for a geometry-optimized BaNaPb structure.

Unit cell a=6.924 b=6.924 c=6.924 alpha=131.98 beta=107.52 gamma=91.72
Fractional positions:
1 Ba 0.000 0.000 0.000
2 Ba 0.545 0.045 0.500
3 Na 0.409 0.686 0.723
4 Na 0.964 0.686 0.277
5 Pb 0.146 0.353 0.793
6 Pb 0.561 0.353 0.207

Values from the calculation:
E_tot ... -2.688 eV/atom
Offset from the most stable computed form ... 0 meV per atom
Formation energy from the elements ... -1.1 eV per formula unit



A plane-wave DFT calculation with PBE-GGA was carried out for a geometry-optimized AcTb4PrDy2 structure.

Unit cell a=9.648 b=9.648 c=9.648 alpha=137.62 beta=103.48 gamma=91.62
Fractional positions:
1 Ac 0.500 0.000 0.000
2 Ac 0.500 0.500 0.500
3 Tb 0.232 0.747 0.485
4 Tb 0.238 0.240 0.502
5 Tb 0.238 0.253 0.985
6 Tb 0.238 0.736 0.998
7 Tb 0.762 0.264 0.002
8 Tb 0.762 0.747 0.015
9 Tb 0.762 0.760 0.498
10 Tb 0.768 0.253 0.515
11 Pr 0.000 0.000 0.000
12 Pr 0.500 0.000 0.500
13 Dy 0.000 0.000 0.500
14 Dy 0.000 0.500 0.000
15 Dy 0.000 0.500 0.500
16 Dy 0.500 0.500 0.000

Values from the calculation:
E_tot ... -4.147 eV/atom
Formation energy from the elements ... 3.4 eV per formula unit



A plane-wave DFT calculation with PBE-GGA was carried out for a geometry-optimized LiRu2 structure.

Unit cell a=5.127 b=5.127 c=4.111 alpha=90.00 beta=90.00 gamma=132.67
Fractional positions:
1 Li 0.080 0.920 0.750
2 Li 0.920 0.080 0.250
3 Ru 0.243 0.757 0.250
4 Ru 0.420 0.580 0.750
5 Ru 0.580 0.420 0.250
6 Ru 0.757 0.243 0.750

Values from the calculation:
E_tot ... -6.566 eV/atom
Formation energy from the elements ... 0.8 eV per formula unit